No. 1
Material: PuPtAu
Method: DFT, GGA-PBE
State: relaxed

Total energy: -8.349 eV/atom
Relative energy among the computed polymorphs: 0.082 eV per atom

Unit cell a=4.6758 b=4.6758 c=4.6758 alpha=60.00 beta=60.00 gamma=60.00
Last column: nearest neighbours and their distance in Å.
Atoms (fractional coordinates):
Pt: 0.2500 0.2500 0.2500  4 Pu 2.86, 4 Au 2.86
Au: 0.0000 0.0000 0.0000  4 Pt 2.86
Pu: 0.5000 0.5000 0.5000  4 Pt 2.86

No. 2
Material: Tm3Zn2Ni
Method: DFT, GGA-PBE
State: relaxed

Total energy: -4.006 eV/atom
Relative energy among the computed polymorphs: 0.012 eV per atom

Unit cell a=4.8769 b=4.8769 c=5.9903 alpha=90.00 beta=90.00 gamma=120.00
Last column: nearest neighbours and their distance in Å.
Atoms (fractional coordinates):
Zn: 0.6667 0.3333 0.3481  8 Tm 2.96-3.05
Zn: 0.3333 0.6667 0.6519  8 Tm 2.96-3.05
Tm: 0.0000 0.0000 0.5000  6 Zn 2.96, 2 Ni 3.00
Tm: 0.3333 0.6667 0.1535  3 Ni 2.96, 5 Zn 2.99-3.05
Tm: 0.6667 0.3333 0.8465  3 Ni 2.96, 5 Zn 2.99-3.05
Ni: 0.0000 0.0000 0.0000  8 Tm 2.96-3.00

It is found that the DFT formation energy values, taken in the order of the records, are -1.4; -2.3 eV/f.u..